Record 1
A relaxed structure of Zr2IrBr. Source: Alexandria via LeMat-Bulk, functional PBE-GGA.

Cell lengths 3.889, 3.889, 10.523 Å; angles 90.00, 90.00, 90.00 degrees
Space group I-4m2 (No. 119)
Symmetry-distinct sites (fractional):
Zr (0.000, 0.000, 0.000) [2 per cell]
Zr (0.000, 0.500, 0.250) [2 per cell]
Ir (0.000, 0.000, 0.500) [2 per cell]
Br (0.000, 0.500, 0.750) [2 per cell]

Calculated values
* Fermi-level density of states: 1.26 states/eV/atom
* crystal system: tetragonal
* formation energy (no corrections): -0.12 eV/atom
* VASP energy: -0.25813 hartree per atom

=====

Record 2
A relaxed structure of ZrIr2Br. Source: Alexandria via LeMat-Bulk, functional PBE-GGA.

Cell lengths 6.621, 6.621, 6.621 Å; angles 90.00, 90.00, 90.00 degrees
Space group Fm-3m (No. 225)
Symmetry-distinct sites (fractional):
Zr (0.000, 0.000, 0.000) [4 per cell]
Ir (0.250, 0.250, 0.250) [8 per cell]
Br (0.000, 0.000, 0.500) [4 per cell]

Calculated values
* Fermi-level density of states: 0.91 states/eV/atom
* crystal system: cubic
* formation energy (no corrections): 0.42 eV/atom
* VASP energy: -0.24143 hartree per atom

=====

Record 3
A relaxed structure of ZrIr2Br. Source: Alexandria via LeMat-Bulk, functional PBE-GGA.

Cell lengths 3.129, 4.737, 9.553 Å; angles 90.00, 90.00, 90.00 degrees
Space group Imm2 (No. 44)
Symmetry-distinct sites (fractional):
Zr (0.000, 0.000, 0.000) [2 per cell]
Ir (0.000, 0.000, 0.518) [2 per cell]
Ir (0.000, 0.500, 0.790) [2 per cell]
Br (0.000, 0.500, 0.257) [2 per cell]

Calculated values
* Fermi-level density of states: 0.71 states/eV/atom
* crystal system: orthorhombic
* formation energy (no corrections): 0.27 eV/atom
* VASP energy: -0.24670 hartree per atom

=====

Record 4
A relaxed structure of ZrIr2Br. Source: Alexandria via LeMat-Bulk, functional PBE-GGA.

Cell lengths 3.191, 3.733, 6.224 Å; angles 90.00, 90.00, 90.00 degrees
Space group Pmmm (No. 47)
Symmetry-distinct sites (fractional):
Zr (0.000, 0.000, 0.000) [1 per cell]
Ir (0.500, 0.500, 0.219) [2 per cell]
Br (0.000, 0.000, 0.500) [1 per cell]

Calculated values
* Fermi-level density of states: 0.82 states/eV/atom
* crystal system: orthorhombic
* formation energy (no corrections): 0.03 eV/atom
* VASP energy: -0.25574 hartree per atom

=====

What is the VASP energy in the fourth record?
-0.25574 hartree per atom

=====

Which formula does entry 4 have?
ZrIr2Br

=====

Number 2 is which compound?
ZrIr2Br